1.
The following is a DFT calculation (PBE-GGA) of an optimized crystal structure of Ce2DyTe5.

Computed properties:
SG: P4/mmm

a b c (Å): 7.4920 7.4920 5.3707
angles (deg): 90.00 90.00 90.00
With the nearest neighbours (Å) after each atom.
Atoms (fractional coordinates):
Ce 0.0000 0.5000 0.0000  10 Te 3.75-3.79
Ce 0.5000 0.0000 0.0000  10 Te 3.75-3.79
Dy 0.0000 0.0000 0.5000  6 Te 2.69-2.97
Te 0.0000 0.0000 0.0000  2 Dy 2.69
Te 0.2799 0.2799 0.5000  1 Dy 2.97, 2 Te 3.30
Te 0.2799 0.7201 0.5000  1 Dy 2.97, 2 Te 3.30
Te 0.7201 0.2799 0.5000  1 Dy 2.97, 2 Te 3.30
Te 0.7201 0.7201 0.5000  1 Dy 2.97, 2 Te 3.30

=====

2.
The following is a DFT calculation (PBE-GGA) of an optimized crystal structure of Mg4Si3.

Computed properties:
SG: P-1

a b c (Å): 4.6656 7.5590 7.7081
angles (deg): 82.46 85.02 80.39
With the nearest neighbours (Å) after each atom.
Atoms (fractional coordinates):
Mg 0.0389 0.0265 0.2973  3 Si 2.76-2.96, 2 Mg 3.03-3.08
Mg 0.1787 0.7281 0.0612  5 Si 2.75-2.80, 2 Mg 2.97-3.03
Mg 0.2867 0.5051 0.7657  6 Si 2.79-2.99, 3 Mg 2.97-3.10
Mg 0.4248 0.2158 0.4927  5 Si 2.78-3.06, 2 Mg 3.08-3.10
Mg 0.5752 0.7842 0.5073  5 Si 2.78-3.06, 2 Mg 3.08-3.10
Mg 0.7133 0.4949 0.2343  6 Si 2.79-2.99, 3 Mg 2.97-3.10
Mg 0.8213 0.2719 0.9388  5 Si 2.75-2.80, 2 Mg 2.97-3.03
Mg 0.9611 0.9735 0.7027  3 Si 2.76-2.96, 2 Mg 3.03-3.08
Si 0.1377 0.6103 0.4205  1 Si 2.42
Si 0.2859 0.3118 0.1210  1 Si 2.66, 7 Mg 2.75-2.96
Si 0.3801 0.0877 0.8754  2 Si 2.43-2.66
Si 0.6199 0.9123 0.1246  2 Si 2.43-2.66
Si 0.7141 0.6882 0.8790  1 Si 2.66, 7 Mg 2.75-2.96
Si 0.8623 0.3897 0.5795  1 Si 2.42

=====

3.
The following is a DFT calculation (PBE-GGA) of an optimized crystal structure of LiPrGdCd.

Computed properties:
Energy relative to the elements in eV per atom: -0.1383
SG: F-43m

a b c (Å): 5.3806 5.3806 5.3806
angles (deg): 60.00 60.00 60.00
With the nearest neighbours (Å) after each atom.
Atoms (fractional coordinates):
Li 0.0000 0.0000 0.0000  4 Gd 3.29, 4 Pr 3.29
Pr 0.7500 0.7500 0.7500  4 Cd 3.29, 4 Li 3.29
Gd 0.2500 0.2500 0.2500  4 Cd 3.29, 4 Li 3.29
Cd 0.5000 0.5000 0.5000  4 Gd 3.29, 4 Pr 3.29

=====

4.
The following is a DFT calculation (PBE-GGA) of an optimized crystal structure of BiTeWI2.

Computed properties:
SG: P4/mmm

a b c (Å): 5.5034 5.5034 5.3296
angles (deg): 90.00 90.00 90.00
With the nearest neighbours (Å) after each atom.
Atoms (fractional coordinates):
Bi 0.0000 0.0000 0.0000  8 I 3.83, 4 Te 3.89
Te 0.5000 0.5000 0.0000  2 W 2.66
W 0.5000 0.5000 0.5000  2 Te 2.66, 4 I 2.75
I 0.0000 0.5000 0.5000  2 W 2.75
I 0.5000 0.0000 0.5000  2 W 2.75

=====

5.
The following is a DFT calculation (PBE-GGA) of an optimized crystal structure of LiH3Au.

Computed properties:
SG: Pm-3m

a b c (Å): 3.4467 3.4467 3.4467
angles (deg): 90.00 90.00 90.00
With the nearest neighbours (Å) after each atom.
Atoms (fractional coordinates):
Li 0.0000 0.0000 0.0000  6 H 1.72
H 0.0000 0.0000 0.5000  2 Li 1.72
H 0.0000 0.5000 0.0000  2 Li 1.72
H 0.5000 0.0000 0.0000  2 Li 1.72
Au 0.5000 0.5000 0.5000  12 H 2.44

=====

6.
The following is a DFT calculation (PBE-GGA) of an optimized crystal structure of Dy8Ag2Os.

Computed properties:
Energy relative to the elements in eV per atom: -0.1018
SG: Cm

a b c (Å): 8.6842 8.6842 6.1324
angles (deg): 103.93 103.93 127.47
With the nearest neighbours (Å) after each atom.
Atoms (fractional coordinates):
Dy 0.0000 0.0000 0.0000  1 Os 2.64
Dy 0.0905 0.4707 0.1420  4 Ag 3.36-3.49, 1 Os 3.39, 6 Dy 3.47-3.58
Dy 0.1320 0.8975 0.4840  1 Os 2.80, 1 Ag 2.95
Dy 0.4363 0.6644 0.8532  1 Os 2.80, 1 Ag 3.02
Dy 0.4707 0.0905 0.1420  4 Ag 3.36-3.49, 1 Os 3.39, 6 Dy 3.47-3.58
Dy 0.5579 0.5579 0.3814  1 Os 2.67
Dy 0.6644 0.4363 0.8532  1 Os 2.80, 1 Ag 3.02
Dy 0.8975 0.1320 0.4840  1 Os 2.80, 1 Ag 2.95
Ag 0.5599 0.9836 0.6485  4 Dy 2.95-3.25
Ag 0.9836 0.5599 0.6485  4 Dy 2.95-3.25
Os 0.2764 0.2764 0.8712  6 Dy 2.64-2.80

=====

7.
The following is a DFT calculation (PBE-GGA) of an optimized crystal structure of Tb3SN2.

Computed properties:
SG: Cmcm

a b c (Å): 6.5119 6.5119 9.8216
angles (deg): 90.00 90.00 146.92
With the nearest neighbours (Å) after each atom.
Atoms (fractional coordinates):
Tb 0.0707 0.9293 0.7500  2 N 2.21
Tb 0.3797 0.6203 0.5693  1 N 2.13
Tb 0.3797 0.6203 0.9307  1 N 2.13
Tb 0.6203 0.3797 0.0693  1 N 2.13
Tb 0.6203 0.3797 0.4307  1 N 2.13
Tb 0.9293 0.0707 0.2500  2 N 2.21
S 0.2520 0.7480 0.2500  6 Tb 2.89-3.05
S 0.7480 0.2520 0.7500  6 Tb 2.89-3.05
N 0.0000 0.0000 0.0000  6 Tb 2.48-2.61
N 0.0000 0.0000 0.5000  6 Tb 2.48-2.61
N 0.4743 0.5257 0.7500  4 Tb 2.13-2.21
N 0.5257 0.4743 0.2500  4 Tb 2.13-2.21

=====

8.
The following is a DFT calculation (PBE-GGA) of an optimized crystal structure of SeBr2.

Computed properties:
SG: P6_3/mmc

a b c (Å): 7.1903 7.1903 8.9123
angles (deg): 90.00 90.00 120.00
With the nearest neighbours (Å) after each atom.
Atoms (fractional coordinates):
Se 0.3333 0.6667 0.0458  3 Br 2.72
Se 0.3333 0.6667 0.4542  3 Br 2.72
Se 0.6667 0.3333 0.5458  3 Br 2.72
Se 0.6667 0.3333 0.9542  3 Br 2.72
Br 0.0000 0.0000 0.0000  6 Br 3.08
Br 0.0000 0.0000 0.5000  6 Br 3.08
Br 0.1709 0.3419 0.2500  2 Se 2.72
Br 0.1709 0.8291 0.2500  2 Se 2.72
Br 0.3419 0.1709 0.7500  2 Se 2.72
Br 0.6581 0.8291 0.2500  2 Se 2.72
Br 0.8291 0.1709 0.7500  2 Se 2.72
Br 0.8291 0.6581 0.7500  2 Se 2.72

=====

9.
The following is a DFT calculation (PBE-GGA) of an optimized crystal structure of Cs2PrAs2O6.

Computed properties:
SG: C2/m

a b c (Å): 6.2615 6.2615 7.8096
angles (deg): 112.89 112.89 60.10
With the nearest neighbours (Å) after each atom.
Atoms (fractional coordinates):
Cs 0.2268 0.2268 0.2035  7 O 3.13-3.33
Cs 0.7732 0.7732 0.7965  7 O 3.13-3.33
Pr 0.0000 0.0000 0.5000  6 O 2.39-2.40
As 0.4288 0.4288 0.7791  3 O 1.77
As 0.5712 0.5712 0.2209  3 O 1.77
O 0.2467 0.2467 0.6419  1 As 1.77
O 0.2679 0.7195 0.7105  1 As 1.77
O 0.2805 0.7321 0.2895  1 As 1.77
O 0.7195 0.2679 0.7105  1 As 1.77
O 0.7321 0.2805 0.2895  1 As 1.77
O 0.7533 0.7533 0.3581  1 As 1.77

=====

10.
The following is a DFT calculation (PBE-GGA) of an optimized crystal structure of Pm12NdHo6.

Computed properties:
Energy relative to the elements in eV per atom: 0.1362
SG: R-3

a b c (Å): 8.6480 8.6480 8.6480
angles (deg): 88.88 88.88 88.88
With the nearest neighbours (Å) after each atom.
Atoms (fractional coordinates):
Pm 0.0165 0.3618 0.1979  4 Pm 3.46-3.62, 4 Ho 3.54-3.70, 1 Nd 3.60
Pm 0.1979 0.0165 0.3618  4 Pm 3.46-3.62, 4 Ho 3.54-3.70, 1 Nd 3.60
Pm 0.2203 0.5669 0.4629  6 Pm 3.33-3.73, 3 Ho 3.34-3.49
Pm 0.3618 0.1979 0.0165  4 Pm 3.46-3.62, 4 Ho 3.54-3.70, 1 Nd 3.60
Pm 0.4331 0.5371 0.7797  6 Pm 3.33-3.73, 3 Ho 3.34-3.49
Pm 0.4629 0.2203 0.5669  6 Pm 3.33-3.73, 3 Ho 3.34-3.49
Pm 0.5371 0.7797 0.4331  6 Pm 3.33-3.73, 3 Ho 3.34-3.49
Pm 0.5669 0.4629 0.2203  6 Pm 3.33-3.73, 3 Ho 3.34-3.49
Pm 0.6382 0.8021 0.9835  4 Pm 3.46-3.62, 4 Ho 3.54-3.70, 1 Nd 3.60
Pm 0.7797 0.4331 0.5371  6 Pm 3.33-3.73, 3 Ho 3.34-3.49
Pm 0.8021 0.9835 0.6382  4 Pm 3.46-3.62, 4 Ho 3.54-3.70, 1 Nd 3.60
Pm 0.9835 0.6382 0.8021  4 Pm 3.46-3.62, 4 Ho 3.54-3.70, 1 Nd 3.60
Nd 0.0000 0.0000 0.0000  6 Ho 3.50, 6 Pm 3.60
Ho 0.0987 0.2588 0.6988  7 Pm 3.34-3.70, 1 Nd 3.50, 2 Ho 3.54
Ho 0.2588 0.6988 0.0987  7 Pm 3.34-3.70, 1 Nd 3.50, 2 Ho 3.54
Ho 0.3012 0.9013 0.7412  7 Pm 3.34-3.70, 1 Nd 3.50, 2 Ho 3.54
Ho 0.6988 0.0987 0.2588  7 Pm 3.34-3.70, 1 Nd 3.50, 2 Ho 3.54
Ho 0.7412 0.3012 0.9013  7 Pm 3.34-3.70, 1 Nd 3.50, 2 Ho 3.54
Ho 0.9013 0.7412 0.3012  7 Pm 3.34-3.70, 1 Nd 3.50, 2 Ho 3.54

=====

11.
The following is a DFT calculation (PBE-GGA) of an optimized crystal structure of MnCoB.

Computed properties:
Energy relative to the elements in eV per atom: -0.2266
SG: Immm

a b c (Å): 5.0992 5.0992 5.0992
angles (deg): 148.02 124.47 65.53
With the nearest neighbours (Å) after each atom.
Atoms (fractional coordinates):
Mn 0.2075 0.2075 0.0000  2 B 2.12
Mn 0.7925 0.7925 0.0000  2 B 2.12
Co 0.2488 0.5000 0.7488  4 B 2.06
Co 0.7512 0.5000 0.2512  4 B 2.06
B 0.3924 0.8924 0.5000  1 B 1.84, 4 Co 2.06
B 0.6076 0.1076 0.5000  1 B 1.84, 4 Co 2.06

=====

12.
The following is a DFT calculation (PBE-GGA) of an optimized crystal structure of LiTcTeO6.

Computed properties:
SG: P-31c

a b c (Å): 5.2530 5.2530 9.3912
angles (deg): 90.00 90.00 120.00
With the nearest neighbours (Å) after each atom.
Atoms (fractional coordinates):
Li 0.0000 0.0000 0.0000  6 O 2.30
Li 0.0000 0.0000 0.5000  6 O 2.30
Tc 0.3333 0.6667 0.2500  6 O 1.95
Tc 0.6667 0.3333 0.7500  6 O 1.95
Te 0.3333 0.6667 0.7500  6 O 2.03
Te 0.6667 0.3333 0.2500  6 O 2.03
O 0.0118 0.3677 0.1369  1 Tc 1.95, 1 Te 2.03
O 0.0118 0.6441 0.3631  1 Tc 1.95, 1 Te 2.03
O 0.3559 0.3677 0.3631  1 Tc 1.95, 1 Te 2.03
O 0.3559 0.9882 0.1369  1 Tc 1.95, 1 Te 2.03
O 0.3677 0.0118 0.6369  1 Tc 1.95, 1 Te 2.03
O 0.3677 0.3559 0.8631  1 Tc 1.95, 1 Te 2.03
O 0.6323 0.6441 0.1369  1 Tc 1.95, 1 Te 2.03
O 0.6323 0.9882 0.3631  1 Tc 1.95, 1 Te 2.03
O 0.6441 0.0118 0.8631  1 Tc 1.95, 1 Te 2.03
O 0.6441 0.6323 0.6369  1 Tc 1.95, 1 Te 2.03
O 0.9882 0.3559 0.6369  1 Tc 1.95, 1 Te 2.03
O 0.9882 0.6323 0.8631  1 Tc 1.95, 1 Te 2.03

=====

no.,volume (Å³/cell),electronic total energy (eV/atom)
1,301.46,-4.69
2,265.12,-3.18
3,110.15,-5.56
4,161.42,-3.90
5,40.95,-2.44
6,308.04,-4.99
7,227.30,-7.32
8,399.04,-1.70
9,237.12,-6.02
10,646.40,-4.56
11,57.23,-7.88
12,224.42,-6.27